Entry from Alexandria: a geometry-optimized CdRe2 structure (GGA-PBE). Values from VASP.

Values from the calculation:
Formation energy (meV per atom): 528.4
Space group: Immm, No. 71
E (eV/atom): -8.0754

Geometry as Quantum ESPRESSO input:
```
&SYSTEM
  ibrav = 0, nat = 3, ntyp = 2
/
ATOMIC_SPECIES
Cd 112.41 Cd.upf
Re 186.21 Re.upf
ATOMIC_POSITIONS angstrom
Cd 0.0000 0.0000 0.0000
Re 0.0000 0.0000 6.2153
Re 0.0000 0.0000 2.8538
CELL_PARAMETERS angstrom
-1.4299 1.9241 4.5345
1.4299 -1.9241 4.5345
1.4299 1.9241 -4.5345
```



Entry from Alexandria: a geometry-optimized Cd3Re5 structure (GGA-PBE). Values from VASP.

Values from the calculation:
Formation energy (meV per atom): 997.2
Space group: P6_3/mcm, No. 193
E (eV/atom): -7.1260

Geometry as Quantum ESPRESSO input:
```
&SYSTEM
  ibrav = 0, nat = 16, ntyp = 2
/
ATOMIC_SPECIES
Re 186.21 Re.upf
Cd 112.41 Cd.upf
ATOMIC_POSITIONS angstrom
Re -7.5721 2.0042 0.9815
Re -7.7170 -3.4702 -1.4004
Re -1.6029 -0.1635 0.9964
Re -2.0909 -2.8684 1.4855
Re -3.2110 -5.9672 -0.5138
Re -2.5963 -4.2850 -2.0631
Re -4.6868 0.6332 -1.1722
Re -5.3016 -1.0490 0.3771
Re -7.0184 0.6670 3.3691
Re -5.8066 -2.4659 -3.1717
Cd -0.6373 -4.8213 -0.0581
Cd -7.2604 -0.5133 -1.6284
Cd -3.1074 -6.8393 -3.2294
Cd -2.9317 -1.6164 -1.1085
Cd -4.0656 -4.3338 -4.5091
Cd -4.9662 -3.7176 -0.5775
CELL_PARAMETERS angstrom
-7.3923 3.8689 1.2676
0.7242 -5.8387 -6.0523
-1.2295 -3.3645 3.0986
```



Entry from Alexandria: a geometry-optimized CdRe structure (GGA-PBE). Values from VASP.

Values from the calculation:
Formation energy (meV per atom): 225.5
Space group: P-3m1, No. 164
E (eV/atom): -6.4562

Geometry as Quantum ESPRESSO input:
```
&SYSTEM
  ibrav = 0, nat = 4, ntyp = 2
/
ATOMIC_SPECIES
Re 186.21 Re.upf
Cd 112.41 Cd.upf
ATOMIC_POSITIONS angstrom
Re -0.9188 4.4105 2.3603
Re -0.2806 5.7124 4.5441
Cd -1.7375 8.3402 4.4632
Cd 0.5381 1.7828 2.4412
CELL_PARAMETERS angstrom
-2.2338 -1.1964 1.3661
2.6236 -0.0858 1.1817
-1.7631 8.4632 4.5290
```



Entry from Alexandria: a geometry-optimized CdRe7 structure (GGA-PBE). Values from VASP.

Values from the calculation:
Formation energy (meV per atom): 437.9
Space group: Fm-3m, No. 225
E (eV/atom): -10.5686

Geometry as Quantum ESPRESSO input:
```
&SYSTEM
  ibrav = 0, nat = 8, ntyp = 2
/
ATOMIC_SPECIES
Cd 112.41 Cd.upf
Re 186.21 Re.upf
ATOMIC_POSITIONS angstrom
Cd 0.0000 0.0000 0.0000
Re 0.4632 -2.2716 1.5608
Re 0.5640 -2.4471 -1.2267
Re 1.0272 -4.7187 0.3341
Re -1.8861 -2.0615 0.0616
Re -1.4228 -4.3331 1.6224
Re -1.3221 -4.5086 -1.1651
Re -0.8588 -6.7802 0.3957
CELL_PARAMETERS angstrom
0.9265 -4.5432 3.1216
-3.7721 -4.1231 0.1232
1.1279 -4.8941 -2.4533
```



Entry from Alexandria: a geometry-optimized Cd2Re structure (GGA-PBE). Values from VASP.

Values from the calculation:
Formation energy (meV per atom): 808.9
Space group: Pnnm, No. 58
E (eV/atom): -3.9505

Geometry as Quantum ESPRESSO input:
```
&SYSTEM
  ibrav = 0, nat = 6, ntyp = 2
/
ATOMIC_SPECIES
Cd 112.41 Cd.upf
Re 186.21 Re.upf
ATOMIC_POSITIONS angstrom
Cd 0.0000 1.9395 1.9559
Cd 1.3213 1.7851 5.6941
Cd 1.3213 5.6640 1.7822
Cd 0.0000 5.5096 5.5204
Re 0.0000 0.0000 0.0000
Re 1.3213 3.7245 3.7382
CELL_PARAMETERS angstrom
2.6426 0.0000 0.0000
0.0000 7.4491 0.0000
0.0000 0.0000 7.4764
```



Entry from Alexandria: a geometry-optimized CdRe structure (GGA-PBE). Values from VASP.

Values from the calculation:
Formation energy (meV per atom): 594.6
Space group: C2/m, No. 12
E (eV/atom): -6.0870

Geometry as Quantum ESPRESSO input:
```
&SYSTEM
  ibrav = 0, nat = 4, ntyp = 2
/
ATOMIC_SPECIES
Re 186.21 Re.upf
Cd 112.41 Cd.upf
ATOMIC_POSITIONS angstrom
Re 2.9975 2.8305 4.5251
Re 3.6720 1.4152 2.2900
Cd 5.0263 2.8305 0.0239
Cd 1.1138 2.8305 2.2492
CELL_PARAMETERS angstrom
5.4236 0.0000 0.0019
0.0000 2.8305 0.0000
0.5293 1.4152 4.5420
```



Entry from Alexandria: a geometry-optimized CdRe structure (GGA-PBE). Values from VASP.

Values from the calculation:
Formation energy (meV per atom): 697.9
Space group: I4_1/amd, No. 141
E (eV/atom): -5.9837

Geometry as Quantum ESPRESSO input:
```
&SYSTEM
  ibrav = 0, nat = 4, ntyp = 2
/
ATOMIC_SPECIES
Re 186.21 Re.upf
Cd 112.41 Cd.upf
ATOMIC_POSITIONS angstrom
Re 2.3022 4.6043 1.6133
Re 2.3022 2.3022 0.0000
Cd 0.0000 0.0000 0.0000
Cd 4.6043 2.3022 1.6133
CELL_PARAMETERS angstrom
4.6043 0.0000 0.0000
0.0000 4.6043 0.0000
2.3022 2.3022 3.2266
```



Entry from Alexandria: a geometry-optimized CdRe structure (GGA-PBE). Values from VASP.

Values from the calculation:
Formation energy (meV per atom): 678.2
Space group: Imma, No. 74
E (eV/atom): -6.0034

Geometry as Quantum ESPRESSO input:
```
&SYSTEM
  ibrav = 0, nat = 4, ntyp = 2
/
ATOMIC_SPECIES
Re 186.21 Re.upf
Cd 112.41 Cd.upf
ATOMIC_POSITIONS angstrom
Re 1.1559 5.0954 5.1401
Re 0.6578 5.0100 2.7566
Cd -2.2784 4.7427 2.5072
Cd -0.3670 2.4850 3.8472
CELL_PARAMETERS angstrom
-0.4356 4.8633 -0.0833
-1.9246 -0.1291 2.5278
2.5345 2.7487 4.0700
```



Entry from Alexandria: a geometry-optimized CdRe2 structure (GGA-PBE). Values from VASP.

Values from the calculation:
Formation energy (meV per atom): 338.9
Space group: Cmcm, No. 63
E (eV/atom): -8.2648

Geometry as Quantum ESPRESSO input:
```
&SYSTEM
  ibrav = 0, nat = 6, ntyp = 2
/
ATOMIC_SPECIES
Cd 112.41 Cd.upf
Re 186.21 Re.upf
ATOMIC_POSITIONS angstrom
Cd 1.4080 -3.3750 3.4125
Cd 1.4080 3.3750 1.1375
Re 1.4080 1.5185 3.4125
Re 1.4080 7.0799 3.4125
Re 1.4080 -7.0799 1.1375
Re 1.4080 -1.5185 1.1375
CELL_PARAMETERS angstrom
1.4080 -7.8144 0.0000
1.4080 7.8144 0.0000
0.0000 0.0000 4.5500
```



Entry from Alexandria: a geometry-optimized Cd2Re structure (GGA-PBE). Values from VASP.

Values from the calculation:
Formation energy (meV per atom): 544.5
Space group: I4/mcm, No. 140
E (eV/atom): -4.2149

Geometry as Quantum ESPRESSO input:
```
&SYSTEM
  ibrav = 0, nat = 6, ntyp = 2
/
ATOMIC_SPECIES
Cd 112.41 Cd.upf
Re 186.21 Re.upf
ATOMIC_POSITIONS angstrom
Cd 2.3081 1.2231 2.5020
Cd 4.7543 1.2231 0.0000
Cd -1.2231 2.3081 2.5020
Cd 1.2231 2.3081 0.0000
Re 0.0000 0.0000 1.2510
Re 0.0000 0.0000 3.7531
CELL_PARAMETERS angstrom
-3.5312 3.5312 2.5020
3.5312 -3.5312 2.5020
3.5312 3.5312 -2.5020
```



Entry from Alexandria: a geometry-optimized Cd2Re structure (GGA-PBE). Values from VASP.

Values from the calculation:
Formation energy (meV per atom): 482.5
Space group: Cmcm, No. 63
E (eV/atom): -4.2769

Geometry as Quantum ESPRESSO input:
```
&SYSTEM
  ibrav = 0, nat = 6, ntyp = 2
/
ATOMIC_SPECIES
Cd 112.41 Cd.upf
Re 186.21 Re.upf
ATOMIC_POSITIONS angstrom
Cd 1.4578 -6.1969 3.4755
Cd 1.4578 6.1969 1.1585
Cd 1.4578 0.9927 1.1585
Cd 1.4578 -0.9927 3.4755
Re 1.4578 4.4671 3.4755
Re 1.4578 -4.4670 1.1585
CELL_PARAMETERS angstrom
1.4578 -8.1433 0.0000
1.4578 8.1433 0.0000
0.0000 0.0000 4.6340
```



Entry from Alexandria: a geometry-optimized CdRe structure (GGA-PBE). Values from VASP.

Values from the calculation:
Formation energy (meV per atom): 2005.1
Space group: P6_3/mmc, No. 194
E (eV/atom): -4.6765

Geometry as Quantum ESPRESSO input:
```
&SYSTEM
  ibrav = 0, nat = 4, ntyp = 2
/
ATOMIC_SPECIES
Re 186.21 Re.upf
Cd 112.41 Cd.upf
ATOMIC_POSITIONS angstrom
Re -2.1625 1.2293 1.1783
Re -1.1086 4.6015 0.3429
Cd 0.0000 0.0000 0.0000
Cd 0.3182 2.4209 1.2290
CELL_PARAMETERS angstrom
-0.8501 1.9214 -3.5649
-3.0572 -0.9324 2.6282
0.6363 4.8418 2.4579
```